No. 1
Computed, not measured: an optimized crystal structure of NbVPd2 at the PBE level of DFT.

```
4
Lattice="2.760 0.000 0.000 0.000 2.760 0.000 0.000 0.000 8.061" Properties=species:S:1:pos:R:3 pbc="T T T"
Nb 0.000 0.000 0.000
V 0.000 0.000 4.031
Pd 1.380 1.380 2.139
Pd 1.380 1.380 5.922
```

ρ = 9.65 g/cm³
DOS(E_F) = 2.50 states/eV/f.u.
Magnetization = 0.0 μB per cell
Energy above the most stable polymorph in this dataset = 0.00 kcal/mol of atoms



No. 2
Computed, not measured: an optimized crystal structure of LaOsRh at the PBE level of DFT.

```
3
Lattice="-1.500 1.500 6.445 1.500 -1.500 6.445 1.500 1.500 -6.445" Properties=species:S:1:pos:R:3 pbc="T T T"
La 0.000 0.000 0.000
Os 0.000 0.000 4.039
Rh 0.000 0.000 8.962
```

ρ = 12.37 g/cm³
DOS(E_F) = 2.28 states/eV/f.u.
Magnetization = 0.0 μB per cell
Energy above the most stable polymorph in this dataset = 0.28 kcal/mol of atoms



No. 3
Computed, not measured: an optimized crystal structure of Ce2GaOs at the PBE level of DFT.

```
4
Lattice="4.540 0.000 0.000 0.000 4.540 0.000 0.000 0.000 4.083" Properties=species:S:1:pos:R:3 pbc="T T T"
Ce 0.000 2.270 0.000
Ce 2.270 0.000 0.000
Ga 0.000 0.000 2.041
Os 2.270 2.270 2.041
```

ρ = 10.66 g/cm³
DOS(E_F) = 5.30 states/eV/f.u.
Uncorrected energy = -6.814 eV/atom
Magnetization = 0.0 μB per cell



No. 4
Computed, not measured: an optimized crystal structure of GaTc3P at the PBE level of DFT.

```
5
Lattice="4.373 0.000 0.000 0.000 4.373 0.000 0.000 0.000 4.373" Properties=species:S:1:pos:R:3 pbc="T T T"
Ga 0.000 0.000 0.000
Tc 0.000 2.187 2.187
Tc 2.187 0.000 2.187
Tc 2.187 2.187 0.000
P 2.187 2.187 2.187
```

ρ = 7.83 g/cm³
DOS(E_F) = 3.81 states/eV/f.u.
Magnetization = 2.0 μB per cell
Energy above the most stable polymorph in this dataset = 12.13 kcal/mol of atoms



Which of these has the lowest DOS(E_F)?
LaOsRh